CaCu2 | meta-GGA SCAN | PBEsol geometry

Summary:
**DFT formation energy**: 2.64 kcal/mol of atoms

```
data_CaCu2
_chemical_formula_sum 'Ca1 Cu2'
_symmetry_space_group_name_H-M 'P 4/m m m'
_symmetry_Int_Tables_number 123
_symmetry_space_group_name_Hall '-P 4 2'
_cell_length_a 3.431
_cell_length_b 3.431
_cell_length_c 4.835
_cell_angle_alpha 90.00
_cell_angle_beta 90.00
_cell_angle_gamma 90.00
loop_
_atom_site_label
_atom_site_fract_x
_atom_site_fract_y
_atom_site_fract_z
Ca1 0.000 0.000 0.000
Cu1 0.000 0.500 0.500
```



MnSb2Cl | meta-GGA SCAN | PBEsol geometry

Summary:
**Uncorrected energy**: -101.6 eV per cell

```
data_MnSb2Cl
_chemical_formula_sum 'Mn1 Sb2 Cl1'
_symmetry_space_group_name_H-M 'P 4 m m'
_symmetry_Int_Tables_number 99
_symmetry_space_group_name_Hall 'P 4 -2'
_cell_length_a 3.152
_cell_length_b 3.152
_cell_length_c 8.971
_cell_angle_alpha 90.00
_cell_angle_beta 90.00
_cell_angle_gamma 90.00
loop_
_atom_site_label
_atom_site_fract_x
_atom_site_fract_y
_atom_site_fract_z
Mn1 0.000 0.000 0.000
Sb1 0.000 0.000 0.503
Sb2 0.500 0.500 0.220
Cl1 0.500 0.500 0.850
```



SrInFe2 | meta-GGA SCAN | PBEsol geometry

Summary:
**DFT formation energy**: 14.09 kcal/mol of atoms

```
data_SrInFe2
_chemical_formula_sum 'Sr1 In1 Fe2'
_symmetry_space_group_name_H-M 'P 4/m m m'
_symmetry_Int_Tables_number 123
_symmetry_space_group_name_Hall '-P 4 2'
_cell_length_a 4.606
_cell_length_b 4.606
_cell_length_c 3.548
_cell_angle_alpha 90.00
_cell_angle_beta 90.00
_cell_angle_gamma 90.00
loop_
_atom_site_label
_atom_site_fract_x
_atom_site_fract_y
_atom_site_fract_z
Sr1 0.000 0.000 0.000
In1 0.500 0.500 0.000
Fe1 0.000 0.500 0.500
```



Be2Mo2W | meta-GGA SCAN | PBEsol geometry

Summary:
**DFT formation energy**: -4.75 kcal/mol of atoms

```
data_Be2Mo2W
_chemical_formula_sum 'Be4 Mo4 W2'
_symmetry_space_group_name_H-M 'P 4/m b m'
_symmetry_Int_Tables_number 127
_symmetry_space_group_name_Hall '-P 4 2ab'
_cell_length_a 6.196
_cell_length_b 6.196
_cell_length_c 3.180
_cell_angle_alpha 90.00
_cell_angle_beta 90.00
_cell_angle_gamma 90.00
loop_
_atom_site_label
_atom_site_fract_x
_atom_site_fract_y
_atom_site_fract_z
Be1 0.118 0.382 0.000
Mo1 0.177 0.677 0.500
W1 0.000 0.000 0.000
```



BaTl2Co | meta-GGA SCAN | PBEsol geometry

Summary:
**DFT formation energy**: 4.44 kcal/mol of atoms

```
data_BaTl2Co
_chemical_formula_sum 'Ba2 Tl4 Co2'
_symmetry_space_group_name_H-M 'I m m 2'
_symmetry_Int_Tables_number 44
_symmetry_space_group_name_Hall 'I 2 -2'
_cell_length_a 5.067
_cell_length_b 5.675
_cell_length_c 8.409
_cell_angle_alpha 90.00
_cell_angle_beta 90.00
_cell_angle_gamma 90.00
loop_
_atom_site_label
_atom_site_fract_x
_atom_site_fract_y
_atom_site_fract_z
Ba1 0.000 0.000 0.000
Tl1 0.000 0.000 0.561
Tl2 0.000 0.500 0.770
Co1 0.000 0.500 0.067
```



CuTe2Au | meta-GGA SCAN | PBEsol geometry

Summary:
**Uncorrected energy**: -636.7 eV per cell

```
data_CuTe2Au
_chemical_formula_sum 'Cu4 Te8 Au4'
_symmetry_space_group_name_H-M 'I -4 2 d'
_symmetry_Int_Tables_number 122
_symmetry_space_group_name_Hall 'I -4 2bw'
_cell_length_a 5.978
_cell_length_b 5.978
_cell_length_c 11.862
_cell_angle_alpha 90.00
_cell_angle_beta 90.00
_cell_angle_gamma 90.00
loop_
_atom_site_label
_atom_site_fract_x
_atom_site_fract_y
_atom_site_fract_z
Cu1 0.000 0.000 0.000
Te1 0.226 0.250 0.125
Au1 0.000 0.000 0.500
```



KBi2I | meta-GGA SCAN | PBEsol geometry

Summary:
**Uncorrected energy**: -816.2 eV per cell

```
data_KBi2I
_chemical_formula_sum 'K4 Bi8 I4'
_symmetry_space_group_name_H-M 'I -4 2 d'
_symmetry_Int_Tables_number 122
_symmetry_space_group_name_Hall 'I -4 2bw'
_cell_length_a 4.627
_cell_length_b 4.627
_cell_length_c 28.815
_cell_angle_alpha 90.00
_cell_angle_beta 90.00
_cell_angle_gamma 90.00
loop_
_atom_site_label
_atom_site_fract_x
_atom_site_fract_y
_atom_site_fract_z
K1 0.000 0.000 0.000
Bi1 0.208 0.250 0.125
I1 0.000 0.000 0.500
```



MnMo3 | meta-GGA SCAN | PBEsol geometry

Summary:
**DFT formation energy**: 1.03 kcal/mol of atoms

```
data_MnMo3
_chemical_formula_sum 'Mn2 Mo6'
_symmetry_space_group_name_H-M 'C m m m'
_symmetry_Int_Tables_number 65
_symmetry_space_group_name_Hall '-C 2 2'
_cell_length_a 3.114
_cell_length_b 4.321
_cell_length_c 8.481
_cell_angle_alpha 90.00
_cell_angle_beta 90.00
_cell_angle_gamma 90.00
loop_
_atom_site_label
_atom_site_fract_x
_atom_site_fract_y
_atom_site_fract_z
Mn1 0.000 0.000 0.000
Mo1 0.000 0.000 0.500
Mo2 0.000 0.500 0.236
```



SrLi2Ag | meta-GGA SCAN | PBEsol geometry

Summary:
**DFT formation energy**: -2.36 kcal/mol of atoms

```
data_SrLi2Ag
_chemical_formula_sum 'Sr2 Li4 Ag2'
_symmetry_space_group_name_H-M 'C 1 2/m 1'
_symmetry_Int_Tables_number 12
_symmetry_space_group_name_Hall '-C 2y'
_cell_length_a 9.914
_cell_length_b 3.840
_cell_length_c 5.371
_cell_angle_alpha 90.00
_cell_angle_beta 107.70
_cell_angle_gamma 90.00
loop_
_atom_site_label
_atom_site_fract_x
_atom_site_fract_y
_atom_site_fract_z
Sr1 0.000 0.000 0.000
Li1 0.211 0.000 0.650
Ag1 0.000 0.500 0.500
```



Cd2POs | meta-GGA SCAN | PBEsol geometry

Summary:
**DFT formation energy**: 16.91 kcal/mol of atoms

```
data_Cd2POs
_chemical_formula_sum 'Cd2 P1 Os1'
_symmetry_space_group_name_H-M 'P m m m'
_symmetry_Int_Tables_number 47
_symmetry_space_group_name_Hall '-P 2 2'
_cell_length_a 3.299
_cell_length_b 4.224
_cell_length_c 4.693
_cell_angle_alpha 90.00
_cell_angle_beta 90.00
_cell_angle_gamma 90.00
loop_
_atom_site_label
_atom_site_fract_x
_atom_site_fract_y
_atom_site_fract_z
Cd1 0.000 0.000 0.000
Cd2 0.500 0.500 0.000
P1 0.000 0.500 0.500
Os1 0.500 0.000 0.500
```



Sr5Cd3 | meta-GGA SCAN | PBEsol geometry

Summary:
**DFT formation energy**: -5.00 kcal/mol of atoms

```
data_Sr5Cd3
_chemical_formula_sum 'Sr10 Cd6'
_symmetry_space_group_name_H-M 'C m m m'
_symmetry_Int_Tables_number 65
_symmetry_space_group_name_Hall '-C 2 2'
_cell_length_a 8.845
_cell_length_b 11.289
_cell_length_c 5.622
_cell_angle_alpha 90.00
_cell_angle_beta 90.00
_cell_angle_gamma 90.00
loop_
_atom_site_label
_atom_site_fract_x
_atom_site_fract_y
_atom_site_fract_z
Sr1 0.000 0.000 0.000
Sr2 0.210 0.500 0.500
Sr3 0.250 0.250 0.000
Cd1 0.000 0.216 0.500
Cd2 0.000 0.500 0.000
```



KSeCl2 | meta-GGA SCAN | PBEsol geometry

Summary:
**Uncorrected energy**: -184.0 eV per cell

```
data_KSeCl2
_chemical_formula_sum 'K4 Se4 Cl8'
_symmetry_space_group_name_H-M 'F -4 3 m'
_symmetry_Int_Tables_number 216
_symmetry_space_group_name_Hall 'F -4 2 3'
_cell_length_a 7.425
_cell_length_b 7.425
_cell_length_c 7.425
_cell_angle_alpha 90.00
_cell_angle_beta 90.00
_cell_angle_gamma 90.00
loop_
_atom_site_label
_atom_site_fract_x
_atom_site_fract_y
_atom_site_fract_z
K1 0.000 0.000 0.000
Se1 0.250 0.250 0.750
Cl1 0.000 0.000 0.500
Cl2 0.250 0.250 0.250
```



SnTe3H | meta-GGA SCAN | PBEsol geometry

Summary:
**Uncorrected energy**: -146.4 eV per cell

```
data_SnTe3H
_chemical_formula_sum 'Sn1 Te3 H1'
_symmetry_space_group_name_H-M 'P m -3 m'
_symmetry_Int_Tables_number 221
_symmetry_space_group_name_Hall '-P 4 2 3'
_cell_length_a 5.675
_cell_length_b 5.675
_cell_length_c 5.675
_cell_angle_alpha 90.00
_cell_angle_beta 90.00
_cell_angle_gamma 90.00
loop_
_atom_site_label
_atom_site_fract_x
_atom_site_fract_y
_atom_site_fract_z
Sn1 0.000 0.000 0.000
Te1 0.000 0.000 0.500
H1 0.500 0.500 0.500
```



BaOs3Cl | meta-GGA SCAN | PBEsol geometry

Summary:
**Uncorrected energy**: -243.5 eV per cell

```
data_BaOs3Cl
_chemical_formula_sum 'Ba1 Os3 Cl1'
_symmetry_space_group_name_H-M 'P m -3 m'
_symmetry_Int_Tables_number 221
_symmetry_space_group_name_Hall '-P 4 2 3'
_cell_length_a 5.136
_cell_length_b 5.136
_cell_length_c 5.136
_cell_angle_alpha 90.00
_cell_angle_beta 90.00
_cell_angle_gamma 90.00
loop_
_atom_site_label
_atom_site_fract_x
_atom_site_fract_y
_atom_site_fract_z
Ba1 0.000 0.000 0.000
Os1 0.000 0.000 0.500
Cl1 0.500 0.500 0.500
```